# 1
DFT (PBE) results for crystalline Tm4CdNi at its relaxed geometry.

Cell: 7.082 6.955 6.802 Å, 90.00 94.58 90.00°
Element x y z (fractional)
Tm 0.139 0.165 0.185
Tm 0.139 0.335 0.685
Tm 0.316 0.642 0.109
Tm 0.316 0.858 0.609
Tm 0.684 0.142 0.391
Tm 0.684 0.358 0.891
Tm 0.861 0.665 0.315
Tm 0.861 0.835 0.815
Cd 0.500 0.000 0.000
Cd 0.500 0.500 0.500
Ni 0.000 0.000 0.500
Ni 0.000 0.500 0.000

- ΔE_f (kJ/mol of formula units) = -47
- offset from the most stable computed form (eV/atom) = 0.236
- D(E_F) (states/eV/cell) = 16.78

=====

# 2
DFT (PBE) results for crystalline Tm11Cd9Ni4 at its relaxed geometry.

Cell: 12.969 12.969 3.511 Å, 90.00 90.00 112.67°
Element x y z (fractional)
Tm 0.000 0.000 0.000
Tm 0.084 0.418 0.000
Tm 0.160 0.840 0.000
Tm 0.311 0.311 0.000
Tm 0.373 0.627 0.000
Tm 0.418 0.084 0.000
Tm 0.582 0.916 0.000
Tm 0.627 0.373 0.000
Tm 0.689 0.689 0.000
Tm 0.840 0.160 0.000
Tm 0.916 0.582 0.000
Cd 0.076 0.218 0.500
Cd 0.156 0.634 0.500
Cd 0.218 0.076 0.500
Cd 0.366 0.844 0.500
Cd 0.500 0.500 0.500
Cd 0.634 0.156 0.500
Cd 0.782 0.924 0.500
Cd 0.844 0.366 0.500
Cd 0.924 0.782 0.500
Ni 0.253 0.451 0.500
Ni 0.451 0.253 0.500
Ni 0.549 0.747 0.500
Ni 0.747 0.549 0.500

- ΔE_f (kJ/mol of formula units) = -914
- D(E_F) (states/eV/cell) = 17.12

=====

# 3
DFT (PBE) results for crystalline TmCd4Ni at its relaxed geometry.

Cell: 8.213 8.213 5.336 Å, 108.94 108.94 50.12°
Element x y z (fractional)
Tm 0.206 0.206 0.207
Tm 0.794 0.794 0.793
Cd 0.108 0.659 0.384
Cd 0.195 0.805 0.000
Cd 0.332 0.332 0.832
Cd 0.341 0.892 0.616
Cd 0.659 0.108 0.384
Cd 0.668 0.668 0.168
Cd 0.805 0.195 0.000
Cd 0.892 0.341 0.616
Ni 0.500 0.500 0.276
Ni 0.500 0.500 0.724

- ΔE_f (kJ/mol of formula units) = -34
- D(E_F) (states/eV/cell) = 8.29

=====

# 4
DFT (PBE) results for crystalline Tm3Cd2Ni2 at its relaxed geometry.

Cell: 3.828 21.505 3.640 Å, 90.00 90.00 90.00°
Element x y z (fractional)
Tm 0.000 0.000 0.000
Tm 0.000 0.176 0.000
Tm 0.000 0.824 0.000
Tm 0.500 0.324 0.000
Tm 0.500 0.500 0.000
Tm 0.500 0.676 0.000
Cd 0.000 0.414 0.500
Cd 0.000 0.586 0.500
Cd 0.500 0.086 0.500
Cd 0.500 0.914 0.500
Ni 0.000 0.282 0.500
Ni 0.000 0.718 0.500
Ni 0.500 0.218 0.500
Ni 0.500 0.782 0.500

- ΔE_f (kJ/mol of formula units) = -287
- D(E_F) (states/eV/cell) = 8.45

=====

no.,total magnetic moment (μB/atom)
1,0.000
2,0.000
3,0.000
4,0.000